No. 1
Compound: InAgC
Source: Alexandria
Functional: PBE
Structure: relaxed

Energy of formation   926 meV/atom

Cell lengths 3.793, 8.468, 6.799 Å; angles 90.00, 90.00, 90.00 degrees
Atoms (fractional coordinates):
In1 0.158 0.250 0.000
In2 0.158 0.750 0.500
In3 0.842 0.250 0.500
In4 0.842 0.750 0.000
Ag1 0.500 0.000 0.282
Ag2 0.500 0.000 0.782
Ag3 0.500 0.500 0.282
Ag4 0.500 0.500 0.782
C1 0.317 0.250 0.314
C2 0.317 0.750 0.814
C3 0.683 0.250 0.814
C4 0.683 0.750 0.314

No. 2
Compound: In3AgC
Source: Alexandria
Functional: PBE
Structure: relaxed

Relative energy among the computed polymorphs   0.665 eV/atom
Energy of formation   1473 meV/atom

Cell lengths 5.314, 5.314, 5.314 Å; angles 90.00, 90.00, 90.00 degrees
Atoms (fractional coordinates):
In1 0.000 0.000 0.500
In2 0.000 0.500 0.000
In3 0.500 0.000 0.000
Ag1 0.000 0.000 0.000
C1 0.500 0.500 0.500

No. 3
Compound: InAgC
Source: Alexandria
Functional: PBE
Structure: relaxed

Energy of formation   675 meV/atom

Cell lengths 4.850, 4.953, 5.556 Å; angles 104.97, 90.13, 90.04 degrees
Atoms (fractional coordinates):
In1 0.000 0.000 0.000
In2 0.498 0.658 0.493
Ag1 0.500 0.254 0.815
Ag2 0.501 0.056 0.240
C1 0.131 0.506 0.692
C2 0.867 0.506 0.692

No. 4
Compound: InAgC
Source: Alexandria
Functional: PBE
Structure: relaxed

Energy of formation   1157 meV/atom

Cell lengths 8.283, 3.217, 7.862 Å; angles 90.00, 90.00, 90.00 degrees
Atoms (fractional coordinates):
In1 0.038 0.250 0.182
In2 0.462 0.750 0.682
In3 0.538 0.250 0.318
In4 0.962 0.750 0.818
Ag1 0.144 0.750 0.482
Ag2 0.356 0.250 0.982
Ag3 0.644 0.750 0.018
Ag4 0.856 0.250 0.518
C1 0.169 0.750 0.009
C2 0.331 0.250 0.509
C3 0.669 0.750 0.491
C4 0.831 0.250 0.991

No. 5
Compound: InAgC
Source: Alexandria
Functional: PBE
Structure: relaxed

Energy of formation   1057 meV/atom

Cell lengths 4.823, 4.823, 4.367 Å; angles 90.00, 90.00, 90.00 degrees
Atoms (fractional coordinates):
In1 0.250 0.750 0.000
In2 0.750 0.250 0.000
Ag1 0.250 0.250 0.496
Ag2 0.750 0.750 0.504
C1 0.250 0.250 0.994
C2 0.750 0.750 0.006

No. 6
Compound: InAg3C
Source: Alexandria
Functional: PBE
Structure: relaxed

Relative energy among the computed polymorphs   1.240 eV/atom
Energy of formation   1955 meV/atom

Cell lengths 5.247, 5.247, 5.247 Å; angles 90.00, 90.00, 90.00 degrees
Atoms (fractional coordinates):
In1 0.000 0.000 0.000
Ag1 0.000 0.000 0.500
Ag2 0.000 0.500 0.000
Ag3 0.500 0.000 0.000
C1 0.500 0.500 0.500

No. 7
Compound: InAgC
Source: Alexandria
Functional: PBE
Structure: relaxed

Energy of formation   1088 meV/atom

Cell lengths 6.983, 6.975, 9.254 Å; angles 90.00, 90.00, 90.00 degrees
Atoms (fractional coordinates):
In1 0.000 0.000 0.000
In2 0.000 0.500 0.000
In3 0.500 0.000 0.500
In4 0.500 0.500 0.500
Ag1 0.250 0.250 0.250
Ag2 0.250 0.750 0.750
Ag3 0.750 0.250 0.250
Ag4 0.750 0.750 0.750
C1 0.000 0.250 0.121
C2 0.000 0.750 0.879
C3 0.500 0.250 0.379
C4 0.500 0.750 0.621

No. 8
Compound: InAgC
Source: Alexandria
Functional: PBE
Structure: relaxed

Energy of formation   870 meV/atom

Cell lengths 3.880, 3.880, 4.365 Å; angles 90.00, 90.00, 120.00 degrees
Atoms (fractional coordinates):
In1 0.000 0.000 0.000
Ag1 0.667 0.333 0.500
C1 0.667 0.333 0.000

No. 9
Compound: InAgC2
Source: Alexandria
Functional: PBE
Structure: relaxed

Energy of formation   1891 meV/atom

Cell lengths 4.939, 4.939, 10.638 Å; angles 90.00, 90.00, 90.00 degrees
Atoms (fractional coordinates):
In1 0.000 0.000 0.000
In2 0.000 0.500 0.250
In3 0.500 0.000 0.750
In4 0.500 0.500 0.500
Ag1 0.000 0.000 0.500
Ag2 0.000 0.500 0.750
Ag3 0.500 0.000 0.250
Ag4 0.500 0.500 0.000
C1 0.227 0.250 0.625
C2 0.250 0.727 0.875
C3 0.250 0.773 0.375
C4 0.273 0.250 0.125
C5 0.727 0.750 0.125
C6 0.750 0.227 0.375
C7 0.750 0.273 0.875
C8 0.773 0.750 0.625

No. 10
Compound: InAgC
Source: Alexandria
Functional: PBE
Structure: relaxed

Energy of formation   660 meV/atom

Cell lengths 3.446, 6.013, 6.341 Å; angles 63.80, 89.90, 73.49 degrees
Atoms (fractional coordinates):
In1 0.000 0.000 0.000
In2 0.450 0.089 0.521
Ag1 0.203 0.591 0.780
Ag2 0.669 0.658 0.389
C1 0.800 0.396 0.041
C2 0.822 0.352 0.260

No. 11
Compound: InAgC
Source: Alexandria
Functional: PBE
Structure: relaxed

Energy of formation   1235 meV/atom

Cell lengths 3.801, 3.801, 8.555 Å; angles 90.00, 90.00, 120.00 degrees
Atoms (fractional coordinates):
In1 0.333 0.667 0.250
In2 0.667 0.333 0.750
Ag1 0.000 0.000 0.000
Ag2 0.000 0.000 0.500
C1 0.333 0.667 0.750
C2 0.667 0.333 0.250

No. 12
Compound: InAgC
Source: Alexandria
Functional: PBE
Structure: relaxed

Energy of formation   1012 meV/atom

Cell lengths 3.866, 4.391, 7.320 Å; angles 83.86, 81.04, 78.17 degrees
Atoms (fractional coordinates):
In1 0.000 0.000 0.000
In2 0.477 0.592 0.351
Ag1 0.743 0.563 0.798
Ag2 0.937 0.058 0.547
C1 0.532 0.785 0.057
C2 0.941 0.555 0.504

- The highest energy of formation belongs to which entry?
  InAg3C

- What is the formula in the eighth record?
  InAgC

- Among the records above, which one has the highest energy of formation?
  InAg3C

- Which value of energy of formation does entry 2 give?
  1473 meV/atom